[1]
Compound: Cs3TcW
Source: the Alexandria database
Functional: GGA-PBE
Structure: relaxed

Properties
Symmetry ... No. 221
Formation energy from the elements ... 11.48 eV per formula unit

a b c (Å): 5.946 5.946 5.946
angles (deg): 90.00 90.00 90.00
Atoms (fractional coordinates):
Cs 0.000 0.500 0.000
Cs 0.000 0.000 0.500
Cs 0.500 0.000 0.000
Tc 0.000 0.000 0.000
W 0.500 0.500 0.500

[2]
Compound: CsZn2Tc2
Source: the Alexandria database
Functional: GGA-PBE
Structure: relaxed

Properties
Symmetry ... No. 127
Formation energy from the elements ... 3.53 eV per formula unit

a b c (Å): 8.330 8.330 2.975
angles (deg): 90.00 90.00 90.00
Atoms (fractional coordinates):
Cs 0.000 0.000 0.000
Cs 0.500 0.500 0.000
Zn 0.175 0.675 0.500
Zn 0.675 0.825 0.500
Zn 0.825 0.325 0.500
Zn 0.325 0.175 0.500
Tc 0.404 0.904 0.000
Tc 0.904 0.596 0.000
Tc 0.596 0.096 0.000
Tc 0.096 0.404 0.000

- Which of these has the highest formation energy from the elements?
  Cs3TcW

Repeat the first record exactly.
Compound: Cs3TcW
Source: the Alexandria database
Functional: GGA-PBE
Structure: relaxed

Properties
Symmetry ... No. 221
Formation energy from the elements ... 11.48 eV per formula unit

a b c (Å): 5.946 5.946 5.946
angles (deg): 90.00 90.00 90.00
Atoms (fractional coordinates):
Cs 0.000 0.500 0.000
Cs 0.000 0.000 0.500
Cs 0.500 0.000 0.000
Tc 0.000 0.000 0.000
W 0.500 0.500 0.500

- Look up the formation energy from the elements of the first one.
  11.48 eV per formula unit